Material: NpMnH8Pd2
Method: DFT, GGA-PBE
State: optimized geometry

Computed properties:
For the total energy, the calculation gives -4.84 eV per atom. The value obtained for the spin magnetization is 0.03 μB/atom. For the theoretical density, the calculation gives 6.61 g/cm³.

Cell lengths 4.8725, 4.8725, 6.2697 Å; angles 90.00, 90.00, 120.00 degrees
Space group P-3m1 (No. 164)
One atom of each set of equivalent atoms:
Np  0.0000  0.0000  0.0000 (multiplicity 1)
Mn  0.0000  0.0000  0.5000 (multiplicity 1)
H  0.1419  0.2837  0.3087 (multiplicity 6)
H  0.3333  0.6667  0.9323 (multiplicity 2)
Pd  0.3333  0.6667  0.1966 (multiplicity 2)